The following is a DFT calculation (GGA+U) of a relaxed LiReWO6 crystal.

The structure in POSCAR format:
```
LiReWO6
1.0
4.782 0.000 0.000
0.000 4.782 0.000
0.000 0.000 9.067
Li Re W O
2 2 2 12
Direct
0.500 0.500 0.503
0.000 0.000 0.003
0.500 0.500 0.829
0.000 0.000 0.329
0.500 0.500 0.171
0.000 0.000 0.671
0.183 0.817 0.499
0.817 0.183 0.499
0.317 0.317 0.999
0.683 0.683 0.999
0.211 0.789 0.185
0.789 0.211 0.185
0.289 0.289 0.685
0.711 0.711 0.685
0.787 0.213 0.815
0.213 0.787 0.815
0.713 0.713 0.315
0.287 0.287 0.315
```

Properties
Density of states at the Fermi level ... 0.33 states/eV per atom
Total energy ... -7.482 eV/atom